A plane-wave DFT calculation with PBE-GGA was carried out for a relaxed structure of PmDyAu.

Lattice parameters (Å, degrees): 4.9648 7.6294 7.6294 120.00 90.00 90.00
Closest atoms and distances in Å follow each position.
Atoms (fractional coordinates):
Pm: 0.5000 0.0000 0.5961  5 Au 3.08-3.40
Pm: 0.5000 0.4039 0.4039  5 Au 3.08-3.40
Pm: 0.5000 0.5961 0.0000  5 Au 3.08-3.40
Dy: 0.0000 0.0000 0.2616  4 Au 2.86-3.19
Dy: 0.0000 0.7384 0.7384  4 Au 2.86-3.19
Dy: 0.0000 0.2616 0.0000  4 Au 2.86-3.19
Au: 0.5000 0.0000 0.0000  3 Pm 3.08, 6 Dy 3.19
Au: 0.0000 0.6667 0.3333  3 Dy 2.86
Au: 0.0000 0.3333 0.6667  3 Dy 2.86

Formation enthalpy at 0 K (eV/f.u.): -1.7
E above lowest polymorph (meV per atom): 19

***

A plane-wave DFT calculation with PBE-GGA was carried out for a relaxed structure of PmDy2Au.

Lattice parameters (Å, degrees): 3.7109 3.7109 10.2731 79.59 79.59 60.00
Closest atoms and distances in Å follow each position.
Atoms (fractional coordinates):
Pm: 0.5000 0.5000 0.5000  6 Dy 3.65, 6 Pm 3.71
Au: 0.0000 0.0000 0.0000  6 Dy 2.98
Dy: 0.2646 0.2646 0.2061  3 Au 2.98
Dy: 0.7354 0.7354 0.7939  3 Au 2.98

Formation enthalpy at 0 K (eV/f.u.): -1.1
E above lowest polymorph (meV per atom): 149